# BeTlIn2

A PBEsol-optimized structure of BeTlIn2 (SCAN, Alexandria).

Calculated formation energy: 483.3 meV per atom
Symmetry: C2/m
Energy above the most stable polymorph in this dataset: 198 meV per atom
Uncorrected energy: -35.3879 eV/atom
Calculated density: 8.16 Mg/m³

abc: 3.5993 4.6793 6.0857
angles: 111.80 106.18 92.54
Fractional coordinates of all 4 atoms:
Be 0.0000 0.5000 0.0000
Tl 0.5000 0.0000 0.0000
In 0.0000 0.0000 0.5000
In 0.5000 0.5000 0.5000